[1]
GGA-PBE TiNb2Sn, relaxed; symmetry = No. 123; energy relative to the elements = -0.8 eV per formula unit
1.0
-0.525 4.022 -2.096
1.491 -1.574 -3.393
-3.711 -1.075 -1.133
Nb Sn Ti
2 1 1
Direct
0.000 0.000 0.500
0.000 0.500 0.000
0.500 0.500 0.500
0.500 0.000 0.000

[2]
GGA-PBE CuSn2PdBr, relaxed; symmetry = No. 123; energy relative to the elements, uncorrected = 249 meV/atom
1.0
-4.486 2.169 -0.997
-0.092 -2.189 -4.347
-2.386 -3.987 2.059
Br Sn Pd Cu
1 2 1 1
Direct
0.500 0.500 0.500
0.000 0.000 0.500
0.500 0.000 0.000
0.000 0.500 0.000
0.000 0.000 0.000

[3]
GGA-PBE Ni9Pt11Rh4, relaxed; symmetry = No. 65; energy relative to the elements = -0.1 eV per formula unit
1.0
2.716 0.000 0.000
0.000 10.795 -6.512
0.000 -1.745 12.486
Ni Pt Rh
9 11 4
Direct
0.500 0.627 0.124
0.500 0.373 0.876
0.500 0.124 0.627
0.500 0.876 0.373
0.500 0.792 0.959
0.500 0.208 0.041
0.500 0.959 0.792
0.500 0.041 0.208
0.500 0.500 0.500
0.000 0.584 0.924
0.000 0.416 0.076
0.000 0.924 0.584
0.000 0.076 0.416
0.000 0.673 0.327
0.000 0.327 0.673
0.000 0.835 0.165
0.000 0.165 0.835
0.000 0.000 0.000
0.000 0.745 0.745
0.000 0.255 0.255
0.500 0.539 0.714
0.500 0.461 0.286
0.500 0.714 0.539
0.500 0.286 0.461

[4]
GGA-PBE LiTiBr2, relaxed; symmetry = No. 122; energy relative to the elements, uncorrected = -648 meV/atom
1.0
-0.778 3.440 5.099
-5.912 1.001 -1.577
-4.853 -2.272 4.561
Li Br Ti
2 4 2
Direct
0.500 0.500 0.000
0.250 0.750 0.500
0.606 0.125 0.250
0.144 0.625 0.250
0.375 0.394 0.750
0.875 0.856 0.750
0.000 0.000 0.000
0.750 0.250 0.500